(1)
# BaCoIr2 SCAN single point on PBEsol structure
# crystal system: tetragonal
# energy of formation: 986 meV/atom
# DOS(E_F): 4.72 states/eV per cell
data_BaCoIr2
_chemical_formula_sum 'Ba2 Co2 Ir4'
_space_group_name_H-M_alt 'I 4/m m m'
_space_group_IT_number 139
_space_group_name_Hall '-I 4 2'
_cell_length_a 4.145
_cell_length_b 4.145
_cell_length_c 8.247
_cell_angle_alpha 90.00
_cell_angle_beta 90.00
_cell_angle_gamma 90.00
loop_
_atom_site_label
_atom_site_type_symbol
_atom_site_fract_x
_atom_site_fract_y
_atom_site_fract_z
Ba1 Ba 0.000 0.000 0.000
Co1 Co 0.000 0.000 0.500
Ir1 Ir 0.000 0.500 0.250



(2)
# BaCo2Ir SCAN single point on PBEsol structure
# crystal system: tetragonal
# energy of formation: 1064 meV/atom
# DOS(E_F): 6.93 states/eV per cell
data_BaCo2Ir
_chemical_formula_sum 'Ba2 Co4 Ir2'
_space_group_name_H-M_alt 'I -4 m 2'
_space_group_IT_number 119
_space_group_name_Hall 'I -4 -2'
_cell_length_a 4.145
_cell_length_b 4.145
_cell_length_c 7.868
_cell_angle_alpha 90.00
_cell_angle_beta 90.00
_cell_angle_gamma 90.00
loop_
_atom_site_label
_atom_site_type_symbol
_atom_site_fract_x
_atom_site_fract_y
_atom_site_fract_z
Ba1 Ba 0.000 0.000 0.000
Co1 Co 0.000 0.000 0.500
Co2 Co 0.000 0.500 0.250
Ir1 Ir 0.000 0.500 0.750



(3)
# BaCo2Ir SCAN single point on PBEsol structure
# crystal system: orthorhombic
# energy of formation: 848 meV/atom
# DOS(E_F): 4.21 states/eV per cell
data_BaCo2Ir
_chemical_formula_sum 'Ba2 Co4 Ir2'
_space_group_name_H-M_alt 'C m m m'
_space_group_IT_number 65
_space_group_name_Hall '-C 2 2'
_cell_length_a 6.404
_cell_length_b 6.836
_cell_length_c 2.998
_cell_angle_alpha 90.00
_cell_angle_beta 90.00
_cell_angle_gamma 90.00
loop_
_atom_site_label
_atom_site_type_symbol
_atom_site_fract_x
_atom_site_fract_y
_atom_site_fract_z
Ba1 Ba 0.000 0.000 0.000
Co1 Co 0.250 0.250 0.500
Ir1 Ir 0.000 0.500 0.000



(4)
# KBa2Co SCAN single point on PBEsol structure
# crystal system: tetragonal
# energy of formation: 602 meV/atom
# DOS(E_F): 3.06 states/eV per cell
data_KBa2Co
_chemical_formula_sum 'K1 Ba2 Co1'
_space_group_name_H-M_alt 'P 4 m m'
_space_group_IT_number 99
_cell_length_a 4.134
_cell_length_b 4.134
_cell_length_c 11.086
_cell_angle_alpha 90.00
_cell_angle_beta 90.00
_cell_angle_gamma 90.00
loop_
_space_group_symop_operation_xyz
'x,y,z'
'-y,x,z'
'-x,-y,z'
'y,-x,z'
'-x,y,z'
'y,x,z'
'x,-y,z'
'-y,-x,z'
loop_
_atom_site_label
_atom_site_type_symbol
_atom_site_fract_x
_atom_site_fract_y
_atom_site_fract_z
K1 K 0.000 0.000 0.000
Ba1 Ba 0.000 0.000 0.606
Ba2 Ba 0.500 0.500 0.320
Co1 Co 0.500 0.500 0.545



(5)
# KBa2Co SCAN single point on PBEsol structure
# crystal system: cubic
# energy of formation: 673 meV/atom
# DOS(E_F): 16.80 states/eV per cell
data_KBa2Co
_chemical_formula_sum 'K4 Ba8 Co4'
_space_group_name_H-M_alt 'F -4 3 m'
_space_group_IT_number 216
_space_group_name_Hall 'F -4 2 3'
_cell_length_a 8.199
_cell_length_b 8.199
_cell_length_c 8.199
_cell_angle_alpha 90.00
_cell_angle_beta 90.00
_cell_angle_gamma 90.00
loop_
_atom_site_label
_atom_site_type_symbol
_atom_site_fract_x
_atom_site_fract_y
_atom_site_fract_z
K1 K 0.000 0.000 0.000
Ba1 Ba 0.000 0.000 0.500
Ba2 Ba 0.250 0.250 0.250
Co1 Co 0.250 0.250 0.750



(6)
# KBa2Co SCAN single point on PBEsol structure
# crystal system: monoclinic
# energy of formation: 326 meV/atom
# DOS(E_F): 4.33 states/eV per cell
data_KBa2Co
_chemical_formula_sum 'K1 Ba2 Co1'
_space_group_name_H-M_alt 'P 1 2/m 1'
_space_group_IT_number 10
_cell_length_a 3.802
_cell_length_b 3.802
_cell_length_c 11.187
_cell_angle_alpha 90.00
_cell_angle_beta 90.23
_cell_angle_gamma 90.00
loop_
_space_group_symop_operation_xyz
'x,y,z'
'-x,-y,-z'
'-x,y,-z'
'x,-y,z'
loop_
_atom_site_label
_atom_site_type_symbol
_atom_site_fract_x
_atom_site_fract_y
_atom_site_fract_z
K1 K 0.000 0.000 0.000
Ba1 Ba 0.499 0.500 0.342
Co1 Co 0.000 0.000 0.500



(7)
# KBaCoSe2 SCAN single point on PBEsol structure
# crystal system: tetragonal
# DOS(E_F): 2.23 states/eV per cell
# formation energy without anion corrections: -0.052 eV/atom
data_KBaCoSe2
_chemical_formula_sum 'K1 Ba1 Co1 Se2'
_space_group_name_H-M_alt 'P 4/m m m'
_space_group_IT_number 123
_space_group_name_Hall '-P 4 2'
_cell_length_a 5.705
_cell_length_b 5.705
_cell_length_c 4.500
_cell_angle_alpha 90.00
_cell_angle_beta 90.00
_cell_angle_gamma 90.00
loop_
_atom_site_label
_atom_site_type_symbol
_atom_site_fract_x
_atom_site_fract_y
_atom_site_fract_z
K1 K 0.000 0.000 0.000
Ba1 Ba 0.500 0.500 0.500
Co1 Co 0.000 0.000 0.500
Se1 Se 0.000 0.500 0.000



(8)
# KBaTa2Co SCAN single point on PBEsol structure
# crystal system: tetragonal
# energy of formation: 1147 meV/atom
# DOS(E_F): 5.73 states/eV per cell
data_KBaTa2Co
_chemical_formula_sum 'K1 Ba1 Ta2 Co1'
_space_group_name_H-M_alt 'P 4/m m m'
_space_group_IT_number 123
_space_group_name_Hall '-P 4 2'
_cell_length_a 4.656
_cell_length_b 4.656
_cell_length_c 6.128
_cell_angle_alpha 90.00
_cell_angle_beta 90.00
_cell_angle_gamma 90.00
loop_
_atom_site_label
_atom_site_type_symbol
_atom_site_fract_x
_atom_site_fract_y
_atom_site_fract_z
K1 K 0.000 0.000 0.000
Ba1 Ba 0.500 0.500 0.000
Ta1 Ta 0.000 0.500 0.500
Co1 Co 0.500 0.500 0.500